# KRe2NiO8, relaxed, DFT GGA+U
# ρ: 4.50 Mg/m³
# Energy: -7.2429 eV/atom
data_KRe2NiO8
_cell_length_a 12.333
_cell_length_b 5.630
_cell_length_c 7.369
_cell_angle_alpha 90.00
_cell_angle_beta 120.34
_cell_angle_gamma 90.00
_symmetry_space_group_name_H-M 'C 1 2/m 1'
_symmetry_Int_Tables_number 12
_symmetry_space_group_name_Hall '-C 2y'
loop_
_atom_site_label
_atom_site_type_symbol
_atom_site_fract_x
_atom_site_fract_y
_atom_site_fract_z
_atom_site_occupancy
K1 K 0.000 0.000 0.000 1
Re1 Re 0.195 0.000 0.664 1
Ni1 Ni 0.000 0.500 0.500 1
O1 O 0.121 0.252 0.696 1
O2 O 0.145 0.500 0.145 1
O3 O 0.177 0.000 0.412 1